[1]
The following is a PBE calculation of a relaxed structure of Al2PtAu, from Alexandria via LeMat-Bulk.

Unit cell a=8.462 b=8.462 c=8.462 alpha=20.34 beta=20.34 gamma=20.34
Fractional positions:
Pt1 0.750 0.750 0.750
Au1 0.250 0.250 0.250
Al1 0.004 0.004 0.004
Al2 0.496 0.496 0.496

Values from the calculation:
Excess energy over the best structure of this formula in the dataset: 0.187 eV per atom
Calculated formation energy: -510 meV per atom

[2]
The following is a PBE calculation of a relaxed structure of YMnAs2, from Alexandria via LeMat-Bulk.

Unit cell a=3.964 b=3.964 c=5.631 alpha=90.00 beta=90.00 gamma=90.00
Last column: magnetic moment on the atom in μB.
Fractional positions:
Mn1 0.000 0.000 0.377  3.93
As1 0.000 0.000 0.875  -0.04
As2 0.500 0.500 0.374  -0.08
Y1 0.500 0.500 0.874  0.02

Values from the calculation:
Excess energy over the best structure of this formula in the dataset: 0.060 eV per atom
Calculated formation energy: -639 meV per atom

[3]
The following is a PBE calculation of a relaxed structure of Tb7Pr2Nd, from Alexandria via LeMat-Bulk.

Unit cell a=3.517 b=14.952 c=14.952 alpha=154.50 beta=90.00 gamma=90.00
Fractional positions:
Nd1 0.000 0.000 0.000
Tb1 0.000 0.186 0.814
Tb2 0.500 0.148 0.346
Tb3 0.500 0.852 0.654
Tb4 0.500 0.500 0.500
Tb5 0.500 0.346 0.148
Tb6 0.500 0.654 0.852
Tb7 0.000 0.814 0.186
Pr1 0.500 0.294 0.706
Pr2 0.500 0.706 0.294

Values from the calculation:
Excess energy over the best structure of this formula in the dataset: 0.106 eV per atom
Calculated formation energy: 160 meV per atom

[4]
The following is a PBE calculation of a relaxed structure of Li4MgCd15, from Alexandria via LeMat-Bulk.

Unit cell a=4.341 b=4.341 c=22.263 alpha=90.00 beta=90.00 gamma=90.00
Fractional positions:
Cd1 0.000 0.500 0.500
Cd2 0.500 0.500 0.599
Cd3 0.000 0.500 0.105
Cd4 0.000 0.500 0.697
Cd5 0.000 0.500 0.303
Cd6 0.500 0.000 0.500
Cd7 0.500 0.500 0.204
Cd8 0.500 0.500 0.796
Cd9 0.500 0.000 0.303
Cd10 0.500 0.500 0.000
Cd11 0.500 0.000 0.697
Cd12 0.500 0.500 0.401
Cd13 0.000 0.500 0.895
Cd14 0.500 0.000 0.105
Cd15 0.500 0.000 0.895
Li1 0.000 0.000 0.796
Li2 0.000 0.000 0.599
Li3 0.000 0.000 0.401
Li4 0.000 0.000 0.204
Mg1 0.000 0.000 0.000

Values from the calculation:
Calculated formation energy: -141 meV per atom

[5]
The following is a PBE calculation of a relaxed structure of Pm6Ho3Pu, from Alexandria via LeMat-Bulk.

Unit cell a=6.150 b=9.343 c=11.516 alpha=90.00 beta=88.81 gamma=90.00
Last column: magnetic moment on the atom in μB.
Fractional positions:
Pm1 0.514 0.159 0.070  0.04
Pm2 0.363 0.482 0.257  0.07
Pm3 0.863 0.018 0.757  0.07
Pm4 0.986 0.659 0.430  0.04
Pm5 0.994 0.663 0.072  0.04
Pm6 0.137 0.982 0.243  0.07
Pm7 0.486 0.841 0.930  0.04
Pm8 0.637 0.518 0.743  0.07
Pm9 0.494 0.837 0.572  0.04
Pm10 0.006 0.337 0.928  0.04
Pm11 0.014 0.341 0.570  0.04
Pm12 0.506 0.163 0.428  0.04
Ho1 0.120 0.667 0.751  -0.05
Ho2 0.380 0.167 0.749  -0.05
Ho3 0.880 0.333 0.249  -0.05
Ho4 0.500 0.500 0.000  -0.03
Ho5 0.620 0.833 0.251  -0.05
Ho6 0.000 0.000 0.500  -0.03
Pu1 0.500 0.500 0.500  5.58
Pu2 0.000 0.000 0.000  5.58

Values from the calculation:
Calculated formation energy: 226 meV per atom

[6]
The following is a PBE calculation of a relaxed structure of Sc2ReMo, from Alexandria via LeMat-Bulk.

Unit cell a=2.860 b=2.860 c=9.145 alpha=90.00 beta=90.00 gamma=109.89
Fractional positions:
Sc1 0.000 0.000 0.992
Sc2 0.000 0.000 0.508
Re1 0.500 0.500 0.750
Mo1 0.500 0.500 0.250

Values from the calculation:
Excess energy over the best structure of this formula in the dataset: 0.216 eV per atom
Calculated formation energy: 126 meV per atom

[7]
The following is a PBE calculation of a relaxed structure of LiLa2MoC, from Alexandria via LeMat-Bulk.

Unit cell a=5.376 b=5.376 c=4.095 alpha=90.00 beta=90.00 gamma=90.00
Last column: magnetic moment on the atom in μB.
Fractional positions:
La1 0.500 0.000 0.000  0.02
La2 0.000 0.500 0.000  0.02
C1 0.000 0.000 0.000  0.00
Li1 0.500 0.500 0.500  0.00
Mo1 0.000 0.000 0.500  0.55

Values from the calculation:
Calculated formation energy: 116 meV per atom

[8]
The following is a PBE calculation of a relaxed structure of TiZnRh, from Alexandria via LeMat-Bulk.

Unit cell a=4.235 b=4.739 c=5.074 alpha=90.00 beta=90.00 gamma=116.54
Fractional positions:
Rh1 0.891 0.782 0.750
Rh2 0.109 0.218 0.250
Ti1 0.790 0.580 0.250
Ti2 0.210 0.420 0.750
Zn1 0.500 0.000 0.000
Zn2 0.500 0.000 0.500

Values from the calculation:
Calculated formation energy: -565 meV per atom

[9]
The following is a PBE calculation of a relaxed structure of Sr3Hg7Pb, from Alexandria via LeMat-Bulk.

Unit cell a=4.354 b=10.964 c=14.708 alpha=90.00 beta=90.00 gamma=101.45
Fractional positions:
Hg1 0.477 0.955 0.401
Hg2 0.289 0.578 0.960
Hg3 0.341 0.681 0.353
Hg4 0.341 0.681 0.147
Hg5 0.523 0.045 0.599
Hg6 0.415 0.829 0.750
Hg7 0.523 0.045 0.901
Hg8 0.477 0.955 0.099
Hg9 0.585 0.171 0.250
Hg10 0.659 0.319 0.647
Hg11 0.711 0.422 0.040
Hg12 0.711 0.422 0.460
Hg13 0.659 0.319 0.853
Hg14 0.289 0.578 0.540
Sr1 0.904 0.809 0.945
Sr2 0.743 0.485 0.250
Sr3 0.096 0.191 0.055
Sr4 0.904 0.809 0.555
Sr5 0.096 0.191 0.445
Sr6 0.257 0.515 0.750
Pb1 0.051 0.101 0.750
Pb2 0.949 0.899 0.250

Values from the calculation:
Calculated formation energy: -344 meV per atom

[10]
The following is a PBE calculation of a relaxed structure of LaHo3Er12, from Alexandria via LeMat-Bulk.

Unit cell a=4.985 b=4.985 c=19.970 alpha=90.00 beta=90.00 gamma=90.00
Fractional positions:
Er1 0.000 0.500 0.871
Er2 0.500 0.000 0.376
Er3 0.500 0.500 0.500
Er4 0.500 0.500 0.000
Er5 0.500 0.000 0.871
Er6 0.500 0.000 0.129
Er7 0.000 0.500 0.624
Er8 0.500 0.500 0.747
Er9 0.000 0.500 0.129
Er10 0.500 0.500 0.253
Er11 0.000 0.500 0.376
Er12 0.500 0.000 0.624
La1 0.000 0.000 0.000
Ho1 0.000 0.000 0.251
Ho2 0.000 0.000 0.500
Ho3 0.000 0.000 0.749

Values from the calculation:
Calculated formation energy: 27 meV per atom

[11]
The following is a PBE calculation of a relaxed structure of K2Si2PdS6, from Alexandria via LeMat-Bulk.

Unit cell a=6.825 b=6.825 c=8.086 alpha=65.04 beta=65.04 gamma=60.00
Fractional positions:
S1 0.239 0.239 0.761
S2 0.761 0.761 0.239
S3 0.761 0.239 0.761
S4 0.761 0.239 0.239
S5 0.239 0.761 0.761
S6 0.239 0.761 0.239
Si1 0.407 0.407 0.779
Si2 0.593 0.593 0.221
Pd1 0.000 0.000 0.000
K1 0.220 0.220 0.339
K2 0.780 0.780 0.661

Values from the calculation:
Formation energy from raw total energies: -6.469 eV/f.u.

[12]
The following is a PBE calculation of a relaxed structure of AlSiHCl2, from Alexandria via LeMat-Bulk.

Unit cell a=4.590 b=5.211 c=4.590 alpha=90.00 beta=90.00 gamma=90.00
Fractional positions:
Al1 0.000 0.000 0.000
Cl1 0.000 0.000 0.500
Cl2 0.500 0.000 0.000
Si1 0.000 0.500 0.000
H1 0.500 0.500 0.500

Values from the calculation:
Final energy: -14.8 eV/f.u.

Record order is preserved below.
Density of states at the Fermi level: 0.8; 1.1; 17.3; 4.7; 33.5; 5.2; 6.8; 4.2; 8.8; 21.9; 2.1; 0.1 states/eV/cell